The following is a DFT calculation (PBE) of an optimized crystal structure of Ac2LaPr3Y6.

Lattice parameters (Å, degrees): 6.431 6.431 12.019 95.11 95.11 119.99
Fractional positions:
Ac  0.167  0.833  0.000
Ac  0.833  0.167  0.000
La  0.500  0.500  0.000
Pr  0.000  0.000  0.500
Pr  0.333  0.667  0.500
Pr  0.667  0.333  0.500
Y  0.084  0.416  0.746
Y  0.252  0.252  0.254
Y  0.416  0.084  0.746
Y  0.584  0.916  0.254
Y  0.748  0.748  0.746
Y  0.916  0.584  0.254

Space group ... C2/m
V ... 35.30 Å³ per atom
Energy of formation ... 24.1 kJ/mol of formula units
Density ... 6.1 g/cm³
Density of states at the Fermi level ... 13.4 states/eV per cell